1.
{"formula": "PuMg4Au5", "functional": "GGA-PBE", "state": "relaxed", "lattice_angstrom": [[3.307, 0.000, 0.000], [0.000, 3.307, 0.000], [0.000, 0.000, 17.475]], "species": ["Au", "Au", "Au", "Au", "Au", "Pu", "Mg", "Mg", "Mg", "Mg"], "frac_coords": [[0.500, 0.500, 0.124], [0.500, 0.500, 0.500], [0.500, 0.500, 0.688], [0.500, 0.500, 0.312], [0.500, 0.500, 0.876], [0.000, 0.000, 0.000], [0.000, 0.000, 0.406], [0.000, 0.000, 0.783], [0.000, 0.000, 0.594], [0.000, 0.000, 0.217]], "m_tot_mub_per_cell": 5.7, "energy_ev_per_atom": -4.258}

2.
{"formula": "LiHfTlCo", "functional": "GGA-PBE", "state": "relaxed", "lattice_angstrom": [[0.000, 3.233, 3.233], [3.233, 0.000, 3.233], [3.233, 3.233, 0.000]], "species": ["Hf", "Tl", "Li", "Co"], "frac_coords": [[0.250, 0.250, 0.250], [0.000, 0.000, 0.000], [0.500, 0.500, 0.500], [0.750, 0.750, 0.750]], "m_tot_mub_per_cell": 0.4, "e_above_lowest_polymorph_mev_per_atom": 341}

3.
{"formula": "NiAg2Cl6", "functional": "GGA-PBE", "state": "relaxed", "lattice_angstrom": [[-3.487, 4.946, 2.415], [-0.887, -3.124, 5.118], [12.403, -0.680, 1.736]], "species": ["Ag", "Ag", "Ag", "Ag", "Cl", "Cl", "Cl", "Cl", "Cl", "Cl", "Cl", "Cl", "Cl", "Cl", "Cl", "Cl", "Ni", "Ni"], "frac_coords": [[0.813, 0.501, 0.814], [0.187, 0.001, 0.686], [0.187, 0.499, 0.186], [0.813, 0.999, 0.314], [0.791, 0.720, 0.152], [0.213, 0.797, 0.501], [0.791, 0.780, 0.652], [0.510, 0.225, 0.650], [0.209, 0.280, 0.848], [0.787, 0.297, 0.999], [0.209, 0.220, 0.348], [0.510, 0.275, 0.150], [0.213, 0.703, 0.001], [0.787, 0.203, 0.499], [0.490, 0.775, 0.350], [0.490, 0.725, 0.850], [0.500, 0.500, 0.000], [0.500, 0.000, 0.500]], "m_tot_mub_per_cell": 0.0, "energy_ev_per_atom": -2.907}

4.
{"formula": "Er2SiPt", "functional": "GGA-PBE", "state": "relaxed", "lattice_angstrom": [[-1.944, 3.765, -0.310], [-5.045, -2.959, -4.308], [-3.130, -1.244, 4.521]], "species": ["Si", "Si", "Pt", "Pt", "Er", "Er", "Er", "Er"], "frac_coords": [[0.500, 0.702, 0.861], [0.000, 0.298, 0.361], [0.500, 0.212, 0.635], [0.000, 0.788, 0.135], [0.000, 0.417, 0.868], [0.500, 0.583, 0.368], [0.500, 0.062, 0.136], [0.000, 0.938, 0.636]], "m_tot_mub_per_cell": 0.0, "energy_ev_per_atom": -6.192}

5.
{"formula": "SmCuGeTe3", "functional": "GGA-PBE", "state": "relaxed", "lattice_angstrom": [[12.108, 0.000, 0.000], [0.000, 4.321, 0.000], [0.000, 0.000, 12.382]], "species": ["Te", "Te", "Te", "Te", "Te", "Te", "Te", "Te", "Te", "Te", "Te", "Te", "Cu", "Cu", "Cu", "Cu", "Sm", "Sm", "Sm", "Sm", "Ge", "Ge", "Ge", "Ge"], "frac_coords": [[0.456, 0.000, 0.380], [0.110, 0.000, 0.437], [0.544, 0.500, 0.620], [0.206, 0.500, 0.177], [0.794, 0.000, 0.823], [0.044, 0.500, 0.880], [0.706, 0.500, 0.323], [0.294, 0.000, 0.677], [0.390, 0.500, 0.937], [0.610, 0.000, 0.063], [0.890, 0.500, 0.563], [0.956, 0.000, 0.120], [0.237, 0.500, 0.786], [0.263, 0.000, 0.286], [0.737, 0.500, 0.714], [0.763, 0.000, 0.214], [0.530, 0.000, 0.813], [0.470, 0.500, 0.187], [0.970, 0.500, 0.313], [0.030, 0.000, 0.687], [0.178, 0.000, 0.990], [0.822, 0.500, 0.010], [0.678, 0.000, 0.510], [0.322, 0.500, 0.490]], "m_tot_mub_per_cell": 0.0, "e_above_lowest_polymorph_mev_per_atom": 14}

6.
{"formula": "SrScAuSe3", "functional": "GGA-PBE", "state": "relaxed", "lattice_angstrom": [[-7.186, 2.134, -7.230], [-0.552, 6.639, 2.508], [2.322, 6.721, -0.324]], "species": ["Sr", "Sr", "Sc", "Sc", "Se", "Se", "Se", "Se", "Se", "Se", "Au", "Au"], "frac_coords": [[0.000, 0.760, 0.760], [0.500, 0.240, 0.240], [0.250, 0.000, 0.000], [0.750, 0.000, 0.000], [0.209, 0.362, 0.362], [0.791, 0.362, 0.362], [0.291, 0.638, 0.638], [0.500, 0.913, 0.913], [0.709, 0.638, 0.638], [0.000, 0.087, 0.087], [0.000, 0.461, 0.461], [0.500, 0.539, 0.539]], "m_tot_mub_per_cell": 0.0, "e_above_lowest_polymorph_mev_per_atom": 43}